BaErCo, optimized geometry, DFT GGA-PBE; magnetic moment = 0.00 μB/f.u.; space group = F-43m; distance to the lowest polymorph of the same formula = 0.00 kcal/mol of atoms
1.0
-3.829 -1.290 2.896
-0.580 2.137 4.450
-3.732 3.195 0.755
Ba Co Er
1 1 1
Direct
0.250 0.250 0.250
0.000 0.000 0.000
0.750 0.750 0.750